No. 1
Computed, not measured: crystalline CeSe2 at its relaxed geometry at the PBE level of DFT.

Unit cell a=14.141 b=14.141 c=14.141 alpha=116.09 beta=116.09 gamma=116.09
Atoms (fractional coordinates):
Se 0.000 0.000 0.500
Se 0.500 0.000 0.000
Se 0.000 0.500 0.000
Se 0.000 0.821 0.179
Se 0.179 0.000 0.821
Se 0.821 0.179 0.000
Se 0.179 0.821 0.000
Se 0.000 0.179 0.821
Se 0.821 0.000 0.179
Se 0.500 0.500 0.000
Se 0.000 0.500 0.500
Se 0.500 0.000 0.500
Ce 0.795 0.795 0.173
Ce 0.173 0.795 0.795
Ce 0.795 0.173 0.795
Ce 0.205 0.205 0.827
Ce 0.827 0.205 0.205
Ce 0.205 0.827 0.205

* crystal system: trigonal
* final energy: -16.1 eV per formula unit
* space group: R-3m
* ΔE_f (raw): -1064 meV/atom

---

No. 2
Computed, not measured: crystalline CeSe2 at its relaxed geometry at the PBE level of DFT.

Unit cell a=7.732 b=7.732 c=7.732 alpha=137.39 beta=137.39 gamma=61.83
Atoms (fractional coordinates):
Ce 0.000 0.000 0.000
Ce 0.750 0.250 0.500
Se 0.215 0.215 0.000
Se 0.535 0.035 0.500
Se 0.785 0.785 0.000
Se 0.965 0.465 0.500

* crystal system: tetragonal
* final energy: -17.5 eV per formula unit
* space group: I4_1/amd
* ΔE_f (raw): -1516 meV/atom

---

No. 3
Computed, not measured: crystalline CeSe2 at its relaxed geometry at the PBE level of DFT.

Unit cell a=11.490 b=11.490 c=11.490 alpha=151.64 beta=118.73 gamma=68.86
Atoms (fractional coordinates):
Ce 0.764 0.958 0.974
Ce 0.236 0.211 0.194
Ce 0.516 0.711 0.974
Ce 0.484 0.458 0.194
Se 0.520 0.956 0.733
Se 0.480 0.212 0.436
Se 0.276 0.712 0.733
Se 0.724 0.456 0.436
Se 0.760 0.834 0.094
Se 0.240 0.334 0.075
Se 0.000 0.084 0.084
Se 0.500 0.584 0.084

* crystal system: orthorhombic
* final energy: -16.8 eV per formula unit
* space group: Imma
* ΔE_f (raw): -1304 meV/atom

---

No. 4
Computed, not measured: crystalline CeSe2 at its relaxed geometry at the PBE level of DFT.

Unit cell a=7.108 b=7.148 c=13.544 alpha=90.00 beta=90.00 gamma=90.00
Atoms (fractional coordinates):
Ce 0.365 0.944 0.355
Ce 0.635 0.556 0.855
Ce 0.135 0.444 0.645
Ce 0.865 0.056 0.145
Ce 0.635 0.056 0.645
Ce 0.365 0.444 0.145
Ce 0.865 0.556 0.355
Ce 0.135 0.944 0.855
Se 0.691 0.844 0.469
Se 0.309 0.656 0.969
Se 0.809 0.344 0.531
Se 0.191 0.156 0.031
Se 0.309 0.156 0.531
Se 0.691 0.344 0.031
Se 0.191 0.656 0.469
Se 0.809 0.844 0.969
Se 0.109 0.751 0.214
Se 0.891 0.749 0.714
Se 0.391 0.251 0.786
Se 0.609 0.249 0.286
Se 0.891 0.249 0.786
Se 0.109 0.251 0.286
Se 0.609 0.749 0.214
Se 0.391 0.751 0.714

* crystal system: orthorhombic
* final energy: -17.6 eV per formula unit
* space group: Pbca
* ΔE_f (raw): -1581 meV/atom

---

No. 5
Computed, not measured: crystalline CeSe2 at its relaxed geometry at the PBE level of DFT.

Unit cell a=10.860 b=10.860 c=10.860 alpha=117.19 beta=117.19 gamma=117.19
Atoms (fractional coordinates):
Se 0.250 0.371 0.129
Se 0.371 0.129 0.250
Se 0.129 0.250 0.371
Se 0.750 0.629 0.871
Se 0.629 0.871 0.750
Se 0.871 0.750 0.629
Se 0.000 0.500 0.500
Se 0.500 0.500 0.000
Se 0.500 0.000 0.500
Se 0.500 0.000 0.000
Se 0.000 0.000 0.500
Se 0.000 0.500 0.000
Ce 0.074 0.426 0.250
Ce 0.426 0.250 0.074
Ce 0.250 0.074 0.426
Ce 0.574 0.750 0.926
Ce 0.750 0.926 0.574
Ce 0.926 0.574 0.750

* crystal system: trigonal
* D(E_F): 33.0 states/eV per cell
* final energy: -17.0 eV per formula unit
* space group: R-3c
* ΔE_f (raw): -1374 meV/atom

---

No. 6
Computed, not measured: crystalline CeSe2 at its relaxed geometry at the PBE level of DFT.

Unit cell a=5.583 b=6.983 c=16.484 alpha=90.00 beta=90.00 gamma=90.00
Atoms (fractional coordinates):
Ce 0.500 0.006 0.540
Ce 0.500 0.994 0.040
Ce 0.500 0.492 0.798
Ce 0.500 0.508 0.298
Ce 0.000 0.008 0.236
Ce 0.000 0.992 0.736
Ce 0.000 0.508 0.994
Ce 0.000 0.492 0.494
Se 0.000 0.351 0.830
Se 0.000 0.649 0.330
Se 0.000 0.874 0.564
Se 0.000 0.126 0.064
Se 0.500 0.375 0.970
Se 0.500 0.625 0.470
Se 0.500 0.851 0.704
Se 0.500 0.149 0.204
Se 0.253 0.319 0.640
Se 0.747 0.319 0.640
Se 0.747 0.681 0.140
Se 0.253 0.681 0.140
Se 0.247 0.820 0.894
Se 0.753 0.820 0.894
Se 0.753 0.180 0.394
Se 0.247 0.180 0.394

* crystal system: orthorhombic
* D(E_F): 42.1 states/eV per cell
* final energy: -17.7 eV per formula unit
* space group: Pmc2_1
* ΔE_f (raw): -1585 meV/atom

---

No. 7
Computed, not measured: crystalline CeSe2 at its relaxed geometry at the PBE level of DFT.

Unit cell a=14.133 b=12.378 c=8.877 alpha=81.56 beta=60.04 gamma=38.41
Atoms (fractional coordinates):
Ce 0.558 0.558 0.942
Ce 0.942 0.942 0.558
Ce 0.692 0.692 0.308
Ce 0.308 0.308 0.692
Se 0.423 0.077 0.423
Se 0.827 0.173 0.827
Se 0.077 0.423 0.077
Se 0.173 0.827 0.173
Se 0.625 0.625 0.125
Se 0.125 0.625 0.625
Se 0.625 0.125 0.625
Se 0.625 0.625 0.625

* crystal system: orthorhombic
* final energy: -16.2 eV per formula unit
* space group: Fddd
* ΔE_f (raw): -1089 meV/atom

---

No. 8
Computed, not measured: crystalline CeSe2 at its relaxed geometry at the PBE level of DFT.

Unit cell a=7.721 b=7.721 c=4.248 alpha=90.00 beta=90.00 gamma=120.00
Atoms (fractional coordinates):
Ce 0.667 0.333 0.500
Ce 0.333 0.667 0.500
Ce 0.000 0.000 0.000
Se 0.741 0.741 0.500
Se 0.259 0.000 0.500
Se 0.000 0.259 0.500
Se 0.405 0.405 0.000
Se 0.595 0.000 0.000
Se 0.000 0.595 0.000

* crystal system: hexagonal
* D(E_F): 5.0 states/eV per cell
* final energy: -17.7 eV per formula unit
* space group: P-62m
* ΔE_f (raw): -1588 meV/atom